(1)
Pm2CrHgO6: relaxed, GGA+U.

Cell lengths 5.2283, 5.4027, 5.4027 Å; angles 90.00, 90.00, 90.00 degrees
With the nearest neighbours (Å) after each atom.
Atoms (fractional coordinates):
O1 0.7417 0.7678 0.2322  1 Cr 1.91
O2 0.7417 0.7678 0.7678  1 Cr 1.91
O3 0.1139 0.5000 0.5000  1 Hg 2.10
O4 0.2589 0.0000 0.0000  1 Cr 1.82
O5 0.7417 0.2322 0.2322  1 Cr 1.91
O6 0.7417 0.2322 0.7678  1 Cr 1.91
Pm1 0.9916 0.5000 0.0000  4 O 2.32
Pm2 0.9916 0.0000 0.5000  4 O 2.32
Cr1 0.6075 0.0000 0.0000  5 O 1.82-1.91
Hg1 0.5165 0.5000 0.5000  1 O 2.10

final energy = -6.7483 eV per atom
crystal system = tetragonal
ρ = 6.9 g cm⁻³


(2)
PuCrHg2O6: relaxed, GGA+U.

Cell lengths 4.2292, 5.6632, 5.6632 Å; angles 90.00, 90.00, 90.00 degrees
With the nearest neighbours (Å) after each atom.
Atoms (fractional coordinates):
O1 0.1446 0.0000 0.0000  2 Pu 2.11
O2 0.6446 0.7469 0.2531  1 Cr 1.98, 1 Pu 2.03
O3 0.6446 0.2531 0.2531  1 Cr 1.98, 1 Pu 2.03
O4 0.6446 0.7469 0.7469  1 Cr 1.98, 1 Pu 2.03
O5 0.6446 0.2531 0.7469  1 Cr 1.98, 1 Pu 2.03
O6 0.1447 0.5000 0.5000  2 Cr 2.11
Pu1 0.6446 0.0000 0.0000  6 O 2.03-2.11
Cr1 0.6446 0.5000 0.5000  6 O 1.98-2.11
Hg1 0.1449 0.0000 0.5000  12 O 2.83-2.91
Hg2 0.1449 0.5000 0.0000  12 O 2.83-2.91

final energy = -6.5671 eV per atom
crystal system = tetragonal
ρ = 9.7 g cm⁻³


(3)
PuCr2HgO8: relaxed, GGA+U.

Cell lengths 5.9069, 5.9069, 8.2832 Å; angles 90.00, 90.00, 120.00 degrees
With the nearest neighbours (Å) after each atom.
Atoms (fractional coordinates):
O1 0.8241 0.1759 0.1473  1 Cr 1.70
O2 0.1759 0.8241 0.8527  1 Cr 1.70
O3 0.1759 0.3518 0.8527  1 Cr 1.70
O4 0.3518 0.1759 0.1473  1 Cr 1.70
O5 0.6667 0.3333 0.4072  1 Cr 1.60
O6 0.3333 0.6667 0.5928  1 Cr 1.60
O7 0.6482 0.8241 0.8527  1 Cr 1.70
O8 0.8241 0.6482 0.1473  1 Cr 1.70
Pu1 0.0000 0.0000 0.0000  6 O 2.17
Cr1 0.6667 0.3333 0.2143  4 O 1.60-1.70
Cr2 0.3333 0.6667 0.7857  4 O 1.60-1.70
Hg1 0.0000 0.0000 0.5000  12 O 3.43-3.50

final energy = -7.2755 eV per atom
crystal system = trigonal
ρ = 4.5 g cm⁻³


(4)
Rb2CrHgO4: relaxed, GGA+U.

Cell lengths 6.3758, 6.3758, 6.3758 Å; angles 111.44, 108.49, 108.49 degrees
With the nearest neighbours (Å) after each atom.
Atoms (fractional coordinates):
O1 0.0542 0.5153 0.2645  1 Cr 1.67
O2 0.7492 0.5389 0.4847  1 Cr 1.67
O3 0.2508 0.7355 0.7898  1 Cr 1.67
O4 0.9458 0.2102 0.4611  1 Cr 1.67
Rb1 0.0000 0.0000 0.0000  4 O 2.94
Rb2 0.5000 0.7500 0.2500  4 O 2.81
Cr1 0.0000 0.5000 0.5000  4 O 1.67
Hg1 0.5000 0.2500 0.7500  4 O 3.30, 2 Rb 3.59

final energy = -5.0636 eV per atom
crystal system = tetragonal
ρ = 4.1 g cm⁻³


(5)
RbCr2HgO8: relaxed, GGA+U.

Cell lengths 5.3458, 5.3458, 8.8131 Å; angles 72.34, 72.34, 60.00 degrees
With the nearest neighbours (Å) after each atom.
Atoms (fractional coordinates):
O1 0.9832 0.5807 0.1659  1 Cr 1.68
O2 0.0168 0.4193 0.8341  1 Cr 1.68
O3 0.8091 0.8091 0.5726  1 Cr 1.63
O4 0.5807 0.2703 0.1659  1 Cr 1.68
O5 0.2703 0.9832 0.1659  1 Cr 1.68
O6 0.4193 0.7297 0.8341  1 Cr 1.68
O7 0.1909 0.1909 0.4274  1 Cr 1.63
O8 0.7297 0.0168 0.8341  1 Cr 1.68
Cr1 0.7432 0.7432 0.7705  4 O 1.63-1.68
Cr2 0.2568 0.2568 0.2295  4 O 1.63-1.68
Rb1 0.5000 0.5000 0.5000  12 O 3.14-3.36
Hg1 0.0000 0.0000 0.0000  6 O 2.30

final energy = -5.6885 eV per atom
crystal system = trigonal
ρ = 4.2 g cm⁻³


(6)
RbCrHgO4: relaxed, GGA+U.

Cell lengths 6.1001, 5.8858, 8.3734 Å; angles 90.00, 117.96, 90.00 degrees
With the nearest neighbours (Å) after each atom.
Atoms (fractional coordinates):
O1 0.6484 0.2500 0.4682  1 Cr 1.66
O2 0.9176 0.4803 0.7794  1 Cr 1.68
O3 0.0824 0.9803 0.2206  1 Cr 1.68
O4 0.4979 0.2500 0.7337  1 Cr 1.68
O5 0.5021 0.7500 0.2663  1 Cr 1.68
O6 0.3515 0.7500 0.5318  1 Cr 1.66
O7 0.9176 0.0197 0.7794  1 Cr 1.68
O8 0.0824 0.5197 0.2206  1 Cr 1.68
Hg1 0.9469 0.7500 0.5592  4 O 2.50-2.67
Hg2 0.0531 0.2500 0.4408  4 O 2.50-2.67
Rb1 0.6573 0.7500 0.9207  5 O 2.86-2.96
Rb2 0.3427 0.2500 0.0793  5 O 2.86-2.96
Cr1 0.2619 0.7500 0.3115  4 O 1.66-1.68
Cr2 0.7381 0.2500 0.6885  4 O 1.66-1.68

final energy = -5.2392 eV per atom
crystal system = monoclinic
ρ = 5.0 g cm⁻³


(7)
CrReHgO6: relaxed, GGA+U.

Cell lengths 5.1831, 5.2913, 5.1921 Å; angles 84.75, 79.22, 60.67 degrees
With the nearest neighbours (Å) after each atom.
Atoms (fractional coordinates):
O1 0.0529 0.3720 0.2935  1 Re 1.88, 1 Cr 2.00
O2 0.9809 0.6058 0.7149  1 Re 1.84, 1 Cr 2.02
O3 0.5751 0.3720 0.7065  1 Re 1.88, 1 Cr 2.00
O4 0.3324 0.0084 0.7030  1 Re 2.00, 1 Cr 2.01, 1 Hg 2.10
O5 0.4133 0.6058 0.2851  1 Re 1.84, 1 Cr 2.02
O6 0.6591 0.0084 0.2970  1 Re 2.00, 1 Cr 2.01, 1 Hg 2.10
Hg1 0.9939 0.0122 0.0000  2 O 2.10
Cr1 0.6683 0.6634 0.5000  6 O 2.00-2.02
Re1 0.3239 0.3521 0.5000  6 O 1.84-2.00

final energy = -6.8824 eV per atom
crystal system = monoclinic
ρ = 7.3 g cm⁻³


(8)
Cr2HgSO: relaxed, GGA+U.

Cell lengths 5.4678, 4.7315, 5.4678 Å; angles 90.00, 90.00, 90.00 degrees
With the nearest neighbours (Å) after each atom.
Atoms (fractional coordinates):
Cr1 0.5000 0.0000 0.0000  2 Hg 2.73
Cr2 0.0000 0.0000 0.5000  2 Hg 2.73
Hg1 0.0000 0.0000 0.0000  2 S 2.37
O1 0.5000 0.5000 0.5000  8 Cr 3.62, 4 S 3.87
S1 0.0000 0.5000 0.0000  2 Hg 2.37

final energy = -3.7751 eV per atom
crystal system = tetragonal
ρ = 4.1 g cm⁻³